The following is a DFT calculation (PBE-GGA) of a relaxed GdHo2Se crystal.

Values from the calculation:
Space-group type ... P4/mmm, No. 123
E ... -29.41 eV/f.u.
E_form (uncorrected) ... -0.67 eV per atom

Geometry as POSCAR:
```
GdHo2Se
1.0
-1.205 3.272 0.840
-3.364 -1.081 -0.614
-0.730 -2.361 8.153
Se Ho Gd
1 2 1
Cartesian
-2.284 1.095 0.113
-0.151 -0.489 1.689
-0.579 -1.872 6.464
-2.650 -0.085 4.189
```

***

The following is a DFT calculation (PBE-GGA) of a relaxed LaNdGeH crystal.

Values from the calculation:
Space-group type ... P4/nmm, No. 129
E ... -20.14 eV/f.u.

Geometry as POSCAR:
```
LaNdGeH
1.0
-1.178 -0.283 -4.305
-0.221 -4.452 0.353
-8.575 0.609 2.307
La Ge Nd H
2 2 2 2
Cartesian
-7.639 -1.691 2.202
-1.636 -0.067 -1.871
-6.966 0.312 -0.437
-2.308 -2.070 0.768
-4.288 0.305 1.153
-4.987 -2.063 -0.822
-0.700 -2.368 -1.976
0.000 0.000 0.000
```

***

The following is a DFT calculation (PBE-GGA) of a relaxed Rb3ThCl7 crystal.

Values from the calculation:
Space-group type ... Cm, No. 8
E ... -46.24 eV/f.u.
E_form (uncorrected) ... -2.09 eV per atom

Geometry as POSCAR:
```
Rb3ThCl7
1.0
-2.541 -1.166 7.181
4.071 -6.478 0.921
5.926 0.155 6.128
Th Rb Cl
1 3 7
Cartesian
1.707 -7.268 7.970
6.217 -3.708 9.712
1.864 -2.308 8.767
5.470 -5.205 5.353
1.125 -1.001 2.038
0.096 -1.556 5.975
3.140 -3.030 11.863
3.410 -4.965 7.814
7.592 -6.606 7.648
3.488 -4.281 2.763
6.381 -6.077 11.895
```